The following is a DFT calculation (PBE-GGA) of a relaxed Y3GaAs crystal.

## Properties
Its space group is Pm-3m, No. 221. For the relative energy among the computed polymorphs, the calculation gives 0 meV per atom.

Cell: 5.3385 5.3385 5.3385 Å, 90.00 90.00 90.00°
Sites, in units of the cell vectors:
Y: 0.0000 0.0000 0.5000
Y: 0.0000 0.5000 0.0000
Y: 0.5000 0.0000 0.0000
Ga: 0.5000 0.5000 0.5000
As: 0.0000 0.0000 0.0000


The following is a DFT calculation (PBE-GGA) of a relaxed BaSi2Sb crystal.

## Properties
As for the raw formation energy: 0.3778 eV/atom. Its space group is F-43m, No. 216.

Cell: 7.5944 7.5944 7.5944 Å, 90.00 90.00 90.00°
Sites, in units of the cell vectors:
Ba: 0.0000 0.0000 0.0000
Ba: 0.0000 0.5000 0.5000
Ba: 0.5000 0.0000 0.5000
Ba: 0.5000 0.5000 0.0000
Si: 0.0000 0.0000 0.5000
Si: 0.0000 0.5000 0.0000
Si: 0.2500 0.2500 0.7500
Si: 0.2500 0.7500 0.2500
Si: 0.5000 0.0000 0.0000
Si: 0.5000 0.5000 0.5000
Si: 0.7500 0.2500 0.2500
Si: 0.7500 0.7500 0.7500
Sb: 0.2500 0.2500 0.2500
Sb: 0.2500 0.7500 0.7500
Sb: 0.7500 0.2500 0.7500
Sb: 0.7500 0.7500 0.2500


The following is a DFT calculation (PBE-GGA) of a relaxed Pu2AgSn8 crystal.

## Properties
Its space group is P-1, No. 2.

Cell: 3.1592 10.1790 10.6210 Å, 61.59 89.09 89.26°
Sites, in units of the cell vectors:
Pu: 0.0027 0.3171 0.3650
Pu: 0.9973 0.6829 0.6350
Ag: 0.0000 0.5000 0.0000
Sn: 0.4905 0.8051 0.8401
Sn: 0.4915 0.1486 0.7035
Sn: 0.4988 0.3561 0.8401
Sn: 0.5000 0.0000 0.5000
Sn: 0.5000 0.5000 0.5000
Sn: 0.5012 0.6439 0.1599
Sn: 0.5085 0.8514 0.2965
Sn: 0.5095 0.1949 0.1599


The following is a DFT calculation (PBE-GGA) of a relaxed PmZnBr6 crystal.

## Properties
As for the raw formation energy: -1.0548 eV/atom. Its space group is P-1, No. 2.

Cell: 6.8591 6.8618 7.3240 Å, 62.53 89.89 60.09°
Sites, in units of the cell vectors:
Pm: 0.0000 0.0000 0.0000
Zn: 0.5000 0.0000 0.5000
Br: 0.0967 0.4732 0.2597
Br: 0.2678 0.8279 0.7378
Br: 0.4327 0.8378 0.2573
Br: 0.5673 0.1622 0.7427
Br: 0.7322 0.1721 0.2622
Br: 0.9033 0.5268 0.7403


The following is a DFT calculation (PBE-GGA) of a relaxed Hg2SbOs crystal.

## Properties
As for the raw formation energy: 0.7913 eV/atom. Its space group is I4/mmm, No. 139.

Cell: 4.1092 4.1092 9.5479 Å, 90.00 90.00 90.00°
Sites, in units of the cell vectors:
Hg: 0.0000 0.5000 0.2500
Hg: 0.0000 0.5000 0.7500
Hg: 0.5000 0.0000 0.2500
Hg: 0.5000 0.0000 0.7500
Sb: 0.0000 0.0000 0.0000
Sb: 0.5000 0.5000 0.5000
Os: 0.0000 0.0000 0.5000
Os: 0.5000 0.5000 0.0000


The following is a DFT calculation (PBE-GGA) of a relaxed Cs2BiRuCl6 crystal.

## Properties
As for the raw formation energy: -1.0592 eV/atom. Its space group is I4/mmm, No. 139.

Cell: 7.4630 7.4630 7.4630 Å, 120.16 120.16 89.72°
Sites, in units of the cell vectors:
Cs: 0.2500 0.7500 0.5000
Cs: 0.7500 0.2500 0.5000
Bi: 0.0000 0.0000 0.0000
Ru: 0.5000 0.5000 0.0000
Cl: 0.2665 0.2665 0.0000
Cl: 0.2661 0.2661 0.5323
Cl: 0.2661 0.7339 0.0000
Cl: 0.7339 0.2661 0.0000
Cl: 0.7335 0.7335 0.0000
Cl: 0.7339 0.7339 0.4677


The following is a DFT calculation (PBE-GGA) of a relaxed AcCdGa2 crystal.

## Properties
Its space group is P4/mmm, No. 123. For the relative energy among the computed polymorphs, the calculation gives 215 meV per atom.

Cell: 4.8587 4.8587 4.4497 Å, 90.00 90.00 90.00°
Sites, in units of the cell vectors:
Ac: 0.0000 0.0000 0.0000
Cd: 0.5000 0.5000 0.0000
Ga: 0.0000 0.5000 0.5000
Ga: 0.5000 0.0000 0.5000


The following is a DFT calculation (PBE-GGA) of a relaxed Rb2BAuF6 crystal.

## Properties
As for the raw formation energy: -2.1390 eV/atom. Its space group is I4/mmm, No. 139.

Cell: 6.2503 6.2503 6.2503 Å, 119.09 119.09 91.58°
Sites, in units of the cell vectors:
Rb: 0.2500 0.7500 0.5000
Rb: 0.7500 0.2500 0.5000
B: 0.0000 0.0000 0.0000
Au: 0.5000 0.5000 0.0000
F: 0.1683 0.1683 0.3366
F: 0.1683 0.8317 0.0000
F: 0.2676 0.2676 0.0000
F: 0.7324 0.7324 0.0000
F: 0.8317 0.1683 0.0000
F: 0.8317 0.8317 0.6634


Number 1: total energy -5.873 eV/atom. Number 2: total energy -3.845 eV/atom. Number 3: total energy -5.899 eV/atom. Number 4: total energy -3.063 eV/atom. Number 5: total energy -3.198 eV/atom. Number 6: total energy -3.654 eV/atom. Number 7: total energy -3.050 eV/atom. Number 8: total energy -4.451 eV/atom.